[1]
Entry from the Alexandria database: an optimized crystal structure of Tb6Pr2Mg (PBE).

abc: 6.5256 15.9831 5.6014
angles: 90.00 90.00 90.00
With the nearest neighbours (Å) after each atom.
Space group Pbam (No. 55)
Unique sites:
Tb 0.0789 0.0947 0.0000 x4  1 Mg 3.14, 2 Tb 3.20-3.41, 2 Pr 3.44
Tb 0.0895 0.3080 0.0000 x4  1 Mg 3.12, 1 Tb 3.41, 2 Pr 3.50
Tb 0.2464 0.9474 0.5000 x4  2 Mg 3.36, 6 Tb 3.58-3.74
Pr 0.2313 0.6926 0.5000 x4  6 Tb 3.44-3.55, 2 Pr 3.74
Mg 0.0000 0.5000 0.0000 x2  8 Tb 3.12-3.36

Formation enthalpy at 0 K: 0.05 eV/atom

---

[2]
Entry from the Alexandria database: an optimized crystal structure of La3NdP (PBE).

abc: 5.7065 5.7065 5.7065
angles: 90.00 90.00 90.00
With the nearest neighbours (Å) after each atom.
Space group Pm-3m (No. 221)
Unique sites:
La 0.0000 0.0000 0.5000 x3  2 P 2.85
Nd 0.5000 0.5000 0.5000 x1  12 La 4.04
P 0.0000 0.0000 0.0000 x1  6 La 2.85

Formation enthalpy at 0 K: -0.44 eV/atom

---

[3]
Entry from the Alexandria database: an optimized crystal structure of InCu3 (PBE).

abc: 5.5167 5.5167 4.3670
angles: 90.00 90.00 120.00
With the nearest neighbours (Å) after each atom.
Space group P6_3/mmc (No. 194)
Unique sites:
In 0.3333 0.6667 0.2500 x2  12 Cu 2.76
Cu 0.1565 0.3131 0.7500 x6  6 Cu 2.59-2.65, 4 In 2.76

Formation enthalpy at 0 K: 0.01 eV/atom

---

[4]
Entry from the Alexandria database: an optimized crystal structure of K2PaTe3 (PBE).

abc: 6.4916 16.6095 4.6257
angles: 90.00 90.00 90.00
With the nearest neighbours (Å) after each atom.
Space group Cmmm (No. 65)
Unique sites:
K 0.0000 0.1583 0.0000 x4  5 Te 3.29-3.61
Pa 0.0000 0.5000 0.5000 x2  6 Te 3.10-3.25
Te 0.0000 0.0000 0.5000 x2  2 Pa 3.25, 4 K 3.50
Te 0.0000 0.3754 0.0000 x4  2 Pa 3.10, 2 K 3.29

Final energy: -4.46 eV per atom

---

[5]
Entry from the Alexandria database: an optimized crystal structure of RbMgIn (PBE).

abc: 5.0753 5.0753 8.8686
angles: 90.00 90.00 90.00
With the nearest neighbours (Å) after each atom.
Space group P4/nmm (No. 129, origin choice 2)
Unique sites:
Rb 0.2500 0.2500 0.1504 x2  5 In 3.89-4.17, 4 Mg 4.01
Mg 0.2500 0.7500 0.5000 x2  4 In 3.00
In 0.2500 0.2500 0.6805 x2  4 Mg 3.00

Formation enthalpy at 0 K: -0.02 eV/atom

---

[6]
Entry from the Alexandria database: an optimized crystal structure of Tb6Nd3Y2Th (PBE).

abc: 6.2313 10.7846 11.9098
angles: 90.00 100.04 90.00
With the nearest neighbours (Å) after each atom.
Space group C2/m (No. 12)
Unique sites:
Tb 0.2465 0.0000 0.2531 x4  1 Th 3.55, 6 Tb 3.55-3.62, 2 Y 3.57, 3 Nd 3.62-3.64
Tb 0.2475 0.1647 0.7468 x8  1 Th 3.55, 6 Tb 3.55-3.62, 2 Y 3.57, 3 Nd 3.62-3.63
Nd 0.0000 0.1670 0.0000 x4  6 Nd 3.59-3.60, 6 Tb 3.62-3.63
Nd 0.0000 0.5000 0.0000 x2  6 Nd 3.59-3.60, 6 Tb 3.62-3.64
Y 0.0000 0.3333 0.5000 x4  6 Tb 3.57, 3 Th 3.59-3.60, 3 Y 3.59-3.60
Th 0.0000 0.0000 0.5000 x2  6 Tb 3.55, 6 Y 3.59-3.60

Formation enthalpy at 0 K: 0.02 eV/atom

---

Calculated density? In order: 7161; 5289; 8813; 4608; 3265; 7569 kg/m³.
DOS(E_F)? In order: 28.5; 9.8; 3.3; 8.7; 4.7; 32.1 states/eV/cell.